The following is a PBE calculation of a relaxed structure of Ho2NiP3Ir4, from the Alexandria database.

The structure belongs to space group P-4m2 (No. 115); the cell edges are 4.055, 4.055 and 9.797 Å and the angles 90.00°, 90.00° and 90.00°. Symmetry generates all atoms from Ho at (0.000, 0.500, 0.242), Ni at (0.500, 0.500, 0.000), P at (0.000, 0.000, 0.000), P at (0.000, 0.500, 0.639), Ir at (0.000, 0.000, 0.500), Ir at (0.000, 0.500, 0.869) and Ir at (0.500, 0.500, 0.500).

As for the energy relative to the elements: -896 meV per atom.

The following is a PBE calculation of a relaxed structure of ScNiGe, from the Alexandria database.

The structure belongs to space group P-6m2 (No. 187); the cell edges are 4.1329, 4.1329 and 3.2185 Å and the angles 90.00°, 90.00° and 120.00°. Symmetry generates all atoms from Sc at (0.0000, 0.0000, 0.0000), Ni at (0.6667, 0.3333, 0.5000) and Ge at (0.3333, 0.6667, 0.5000).

As for the energy relative to the elements: -757 meV per atom.

The following is a PBE calculation of a relaxed structure of Cs3Sm3SbSe8, from the Alexandria database.

The structure belongs to space group R-3m (No. 166, hexagonal axes); the cell edges are 8.5380, 8.5380 and 25.6955 Å and the angles 90.00°, 90.00° and 120.00°. Symmetry generates all atoms from Cs at (0.0000, 0.5000, 0.0000), Sm at (0.0000, 0.5000, 0.5000), Sb at (0.0000, 0.0000, 0.5000), Se at (0.0000, 0.0000, 0.2292) and Se at (0.0129, 0.5065, 0.2274).

The calculation puts the formation energy from raw total energies at -1.413 eV/atom.